The following is a DFT calculation (PBE-GGA) of a geometry-optimized Nd2BiSbTe2 structure.

Cell lengths 4.405, 4.405, 9.567 Å; angles 90.00, 90.00, 90.00 degrees
Fractional positions:
Bi  0.000  0.000  0.000
Nd  0.500  0.000  0.279
Nd  0.000  0.500  0.721
Sb  0.500  0.500  0.000
Te  0.000  0.500  0.375
Te  0.500  0.000  0.625

Summary:
Its crystal system is tetragonal. The symmetry is P-4m2.

=====

The following is a DFT calculation (PBE-GGA) of a geometry-optimized Cu5Ag4 structure.

Cell lengths 7.161, 7.161, 6.692 Å; angles 91.97, 91.97, 22.37 degrees
Fractional positions:
Ag  0.608  0.608  0.155
Ag  0.836  0.836  0.488
Ag  0.164  0.164  0.512
Ag  0.392  0.392  0.845
Cu  0.279  0.279  0.155
Cu  0.943  0.943  0.176
Cu  0.500  0.500  0.500
Cu  0.057  0.057  0.824
Cu  0.721  0.721  0.845

Summary:
The value obtained for the energy relative to the elements is 0.10 eV per atom. Its energy above the most stable polymorph in this dataset is 60.5 meV/atom. Its crystal system is monoclinic. The symmetry is C2/m.

=====

The following is a DFT calculation (PBE-GGA) of a geometry-optimized InAgTe2PdSe structure.

Cell lengths 7.541, 7.541, 10.151 Å; angles 90.00, 90.00, 149.99 degrees
Fractional positions:
Ag  0.484  0.516  0.250
Ag  0.516  0.484  0.750
In  0.763  0.237  0.250
In  0.237  0.763  0.750
Pd  0.000  0.000  0.000
Pd  0.000  0.000  0.500
Se  0.108  0.892  0.250
Se  0.892  0.108  0.750
Te  0.366  0.634  0.037
Te  0.366  0.634  0.463
Te  0.634  0.366  0.537
Te  0.634  0.366  0.963

Summary:
Its crystal system is orthorhombic. The symmetry is Cmcm.

=====

The following is a DFT calculation (PBE-GGA) of a geometry-optimized Li8Ag4O11 structure.

Cell lengths 10.570, 5.219, 5.094 Å; angles 100.45, 98.39, 120.37 degrees
Fractional positions:
Ag  0.928  0.166  0.014
Ag  0.086  0.849  0.030
Ag  0.412  0.163  0.984
Ag  0.587  0.842  0.988
Li  0.665  0.679  0.484
Li  0.500  0.005  0.494
Li  0.360  0.366  0.507
Li  0.978  0.949  0.513
Li  0.844  0.315  0.527
Li  0.160  0.691  0.533
Li  0.252  0.517  0.958
Li  0.743  0.489  0.986
O  0.610  0.233  0.227
O  0.461  0.577  0.228
O  0.281  0.924  0.260
O  0.808  0.933  0.260
O  0.969  0.576  0.262
O  0.359  0.755  0.712
O  0.687  0.069  0.723
O  0.549  0.443  0.741
O  0.041  0.363  0.743
O  0.208  0.094  0.783
O  0.887  0.752  0.785

Summary:
Its energy above the most stable polymorph in this dataset is 6.0 meV/atom. Its crystal system is triclinic. The symmetry is P1.

=====

The following is a DFT calculation (PBE-GGA) of a geometry-optimized GdMgZn structure.

Cell lengths 4.754, 4.754, 4.754 Å; angles 60.00, 60.00, 60.00 degrees
Each line ends with the local moment (μB).
Fractional positions:
Gd  0.500  0.500  0.500  0.29
Mg  0.000  0.000  0.000  0.02
Zn  0.250  0.250  0.250  0.10

Summary:
Its crystal system is cubic. The symmetry is F-43m.

=====

The following is a DFT calculation (PBE-GGA) of a geometry-optimized Ho3Co structure.

Cell lengths 5.967, 5.967, 5.967 Å; angles 137.11, 137.11, 62.27 degrees
Fractional positions:
Co  0.000  0.000  0.000
Ho  0.500  0.500  0.000
Ho  0.750  0.250  0.500
Ho  0.250  0.750  0.500

Summary:
The value obtained for the energy relative to the elements is 0.29 eV per atom. Its crystal system is tetragonal. The symmetry is I4/mmm.

=====

The following is a DFT calculation (PBE-GGA) of a geometry-optimized Dy2HoAl3CuNi2 structure.

Cell lengths 3.954, 6.940, 6.940 Å; angles 120.02, 90.00, 90.00 degrees
Fractional positions:
Al  0.500  0.240  0.240
Al  0.500  0.999  0.760
Al  0.500  0.760  0.999
Cu  0.000  0.999  0.999
Dy  0.000  0.419  0.000
Dy  0.000  0.000  0.419
Ho  0.000  0.582  0.582
Ni  0.500  0.666  0.334
Ni  0.500  0.334  0.666

Summary:
Its crystal system is orthorhombic. The symmetry is Amm2.

=====

The following is a DFT calculation (PBE-GGA) of a geometry-optimized LaRe2O4 structure.

Cell lengths 6.487, 6.487, 6.487 Å; angles 119.99, 90.02, 119.99 degrees
Each line ends with the local moment (μB).
Fractional positions:
La  0.000  0.000  0.000  -0.02
La  0.750  0.500  0.250  -0.02
O  0.603  0.205  0.397  0.07
O  0.192  0.795  0.397  0.05
O  0.603  0.795  0.397  0.05
O  0.147  0.295  0.442  0.07
O  0.603  0.205  0.808  0.07
O  0.147  0.705  0.853  0.05
O  0.147  0.295  0.853  0.07
O  0.558  0.705  0.853  0.05
Re  0.375  0.750  0.125  1.27
Re  0.375  0.750  0.625  1.25
Re  0.375  0.250  0.625  1.40
Re  0.875  0.250  0.625  1.39

Summary:
Its crystal system is cubic. The symmetry is Fd-3m.

=====

The following is a DFT calculation (PBE-GGA) of a geometry-optimized GaPt15 structure.

Cell lengths 7.948, 2.783, 36.428 Å; angles 90.00, 90.11, 90.00 degrees
Fractional positions:
Ga  0.875  0.750  0.214
Ga  0.125  0.250  0.786
Pt  0.375  0.750  0.214
Pt  0.637  0.250  0.242
Pt  0.113  0.250  0.242
Pt  0.875  0.750  0.286
Pt  0.374  0.750  0.288
Pt  0.629  0.250  0.325
Pt  0.121  0.250  0.325
Pt  0.375  0.750  0.363
Pt  0.875  0.750  0.365
Pt  0.626  0.250  0.403
Pt  0.124  0.250  0.403
Pt  0.376  0.750  0.441
Pt  0.874  0.750  0.443
Pt  0.126  0.250  0.480
Pt  0.624  0.250  0.481
Pt  0.376  0.750  0.519
Pt  0.874  0.750  0.520
Pt  0.126  0.250  0.557
Pt  0.624  0.250  0.559
Pt  0.876  0.750  0.597
Pt  0.374  0.750  0.597
Pt  0.125  0.250  0.635
Pt  0.625  0.250  0.637
Pt  0.879  0.750  0.675
Pt  0.371  0.750  0.675
Pt  0.626  0.250  0.712
Pt  0.125  0.250  0.714
Pt  0.887  0.750  0.758
Pt  0.363  0.750  0.758
Pt  0.625  0.250  0.786

Summary:
Its energy above the most stable polymorph in this dataset is 39.5 meV/atom. Its crystal system is monoclinic. The symmetry is P2_1/m.

=====

The following is a DFT calculation (PBE-GGA) of a geometry-optimized Zr4Os2C structure.

Cell lengths 8.849, 8.849, 8.849 Å; angles 60.00, 60.00, 60.00 degrees
Fractional positions:
C  0.625  0.625  0.125
C  0.625  0.125  0.625
C  0.125  0.625  0.625
C  0.625  0.625  0.625
Os  0.916  0.916  0.253
Os  0.334  0.334  0.334
Os  0.997  0.334  0.334
Os  0.334  0.997  0.334
Os  0.916  0.253  0.916
Os  0.253  0.916  0.916
Os  0.916  0.916  0.916
Os  0.334  0.334  0.997
Zr  0.125  0.125  0.125
Zr  0.625  0.125  0.125
Zr  0.125  0.625  0.125
Zr  0.687  0.313  0.313
Zr  0.313  0.687  0.313
Zr  0.687  0.687  0.313
Zr  0.937  0.563  0.563
Zr  0.563  0.937  0.563
Zr  0.937  0.937  0.563
Zr  0.125  0.125  0.625
Zr  0.313  0.313  0.687
Zr  0.687  0.313  0.687
Zr  0.313  0.687  0.687
Zr  0.563  0.563  0.937
Zr  0.937  0.563  0.937
Zr  0.563  0.937  0.937

Summary:
Its crystal system is cubic. The symmetry is Fd-3m.

=====

| no. | VASP energy (eV/atom) | calculated volume (Å³ per cell) |
| --- | --- | --- |
| 1 | -5.134 | 185.6 |
| 2 | -3.219 | 130.5 |
| 3 | -3.517 | 288.8 |
| 4 | -4.461 | 228.9 |
| 5 | -2.569 | 76.0 |
| 6 | -4.920 | 97.3 |
| 7 | -4.983 | 164.9 |
| 8 | -8.293 | 193.0 |
| 9 | -5.832 | 805.8 |
| 10 | -9.899 | 490.0 |